Material: Hf2Ge2Au
Method: DFT, GGA-PBE
State: relaxed

Calculated values
DFT formation energy (meV/atom): -473
Mass density (g/cm3): 12.7
Total moment (μB per cell): 0.00
SG: P4/mbm, No. 127

Unit cell a=6.8963 b=6.8963 c=3.8463 alpha=90.00 beta=90.00 gamma=90.00
Atoms (fractional coordinates):
Hf  0.1772  0.3228  0.0000
Hf  0.3228  0.8228  0.0000
Hf  0.6772  0.1772  0.0000
Hf  0.8228  0.6772  0.0000
Ge  0.1271  0.6271  0.5000
Ge  0.3729  0.1271  0.5000
Ge  0.6271  0.8729  0.5000
Ge  0.8729  0.3729  0.5000
Au  0.0000  0.0000  0.5000
Au  0.5000  0.5000  0.5000